Entry 1:
{
  "formula": "Nd2Er3Bi2Sb2",
  "functional": "GGA-PBE",
  "state": "optimized geometry",
  "lattice": [[6.048, 0.000, 0.000], [0.000, 6.048, 0.000], [-3.024, -3.024, 7.687]],
  "species": ["Er", "Er", "Er", "Bi", "Bi", "Nd", "Nd", "Sb", "Sb"],
  "fractional_positions": [[0.250, 0.750, 0.500], [0.000, 0.000, 0.000], [0.750, 0.250, 0.500], [0.798, 0.798, 0.597], [0.202, 0.202, 0.403], [0.592, 0.592, 0.184], [0.408, 0.408, 0.816], [0.000, 0.500, 0.000], [0.500, 0.000, 0.000]],
  "e_tot_ev_per_atom": -4.983,
  "sg": "No. 139",
  "magmom_total_mub_per_fu": 0.000,
  "dos_ef_per_ev_cell": 6.612,
  "mass_density_g_cm3": 8.57
}

***

Entry 2:
{
  "formula": "Nd2ErScBi5",
  "functional": "GGA-PBE",
  "state": "optimized geometry",
  "lattice": [[5.454, 0.000, 0.000], [0.000, 5.454, 0.000], [0.000, 0.000, 11.560]],
  "species": ["Sc", "Nd", "Nd", "Bi", "Bi", "Bi", "Bi", "Bi", "Er"],
  "fractional_positions": [[0.000, 0.000, 0.000], [0.500, 0.500, 0.280], [0.500, 0.500, 0.720], [0.000, 0.000, 0.240], [0.000, 0.500, 0.500], [0.000, 0.000, 0.760], [0.500, 0.500, 0.000], [0.500, 0.000, 0.500], [0.000, 0.000, 0.500]],
  "formation_energy_ev_per_atom": -0.088,
  "e_tot_ev_per_atom": -4.514,
  "sg": "No. 123",
  "magmom_total_mub_per_fu": 0.000,
  "dos_ef_per_ev_cell": 6.988,
  "mass_density_g_cm3": 7.46
}

***

Entry 3:
{
  "formula": "NdErSc2Bi4",
  "functional": "GGA-PBE",
  "state": "optimized geometry",
  "lattice": [[4.406, 0.000, 0.000], [0.000, 7.626, 0.129], [0.000, -2.665, 7.132]],
  "species": ["Bi", "Bi", "Bi", "Bi", "Sc", "Sc", "Er", "Nd"],
  "fractional_positions": [[0.500, 0.738, 0.730], [0.000, 0.750, 0.266], [0.000, 0.250, 0.734], [0.500, 0.262, 0.270], [0.000, 0.500, 0.500], [0.500, 0.000, 0.500], [0.500, 0.500, 0.000], [0.000, 0.000, 0.000]],
  "formation_energy_ev_per_atom": -0.759,
  "e_tot_ev_per_atom": -5.449,
  "sg": "No. 10",
  "magmom_total_mub_per_fu": 0.000,
  "dos_ef_per_ev_cell": 1.455,
  "mass_density_g_cm3": 8.52
}

***

Entry 4:
{
  "formula": "NdEr2ScBi4",
  "functional": "GGA-PBE",
  "state": "optimized geometry",
  "lattice": [[4.454, 0.000, 0.000], [0.000, 7.702, 0.130], [0.000, -2.695, 7.226]],
  "species": ["Nd", "Sc", "Er", "Er", "Bi", "Bi", "Bi", "Bi"],
  "fractional_positions": [[0.000, 0.000, 0.000], [0.500, 0.500, 0.000], [0.000, 0.500, 0.500], [0.500, 0.000, 0.500], [0.000, 0.262, 0.754], [0.500, 0.261, 0.253], [0.500, 0.739, 0.747], [0.000, 0.738, 0.246]],
  "formation_energy_ev_per_atom": -0.787,
  "e_tot_ev_per_atom": -5.255,
  "sg": "No. 10",
  "magmom_total_mub_per_fu": 0.000,
  "dos_ef_per_ev_cell": 1.363,
  "mass_density_g_cm3": 9.05
}

***

Entry 5:
{
  "formula": "NdEr2Sc3Bi6",
  "functional": "GGA-PBE",
  "state": "optimized geometry",
  "lattice": [[-5.504, 5.115, 1.170], [1.822, -4.950, 5.478], [6.058, 4.556, 0.340]],
  "species": ["Sc", "Sc", "Sc", "Nd", "Er", "Er", "Bi", "Bi", "Bi", "Bi", "Bi", "Bi"],
  "fractional_positions": [[0.500, 0.500, 0.500], [0.837, 0.163, 0.500], [0.163, 0.837, 0.500], [0.000, 0.000, 0.000], [0.668, 0.332, 0.000], [0.332, 0.668, 0.000], [0.911, 0.571, 0.733], [0.429, 0.089, 0.267], [0.571, 0.911, 0.733], [0.089, 0.429, 0.267], [0.252, 0.252, 0.736], [0.748, 0.748, 0.264]],
  "formation_energy_ev_per_atom": -0.751,
  "e_tot_ev_per_atom": -5.432,
  "sg": "No. 12",
  "magmom_total_mub_per_fu": 0.000,
  "dos_ef_per_ev_cell": 2.092,
  "mass_density_g_cm3": 8.66
}

***

Entry 6:
{
  "formula": "NdSm2ErBi4",
  "functional": "GGA-PBE",
  "state": "optimized geometry",
  "lattice": [[-2.483, -0.085, 3.809], [3.192, -6.933, 1.927], [6.503, 1.200, 4.267]],
  "species": ["Bi", "Bi", "Bi", "Bi", "Sm", "Sm", "Nd", "Er"],
  "fractional_positions": [[0.000, 0.750, 0.745], [0.000, 0.250, 0.255], [0.500, 0.746, 0.256], [0.500, 0.254, 0.744], [0.500, 0.000, 0.500], [0.000, 0.000, 0.000], [0.500, 0.500, 0.000], [0.000, 0.500, 0.500]],
  "formation_energy_ev_per_atom": -0.898,
  "e_tot_ev_per_atom": -5.185,
  "sg": "No. 10",
  "magmom_total_mub_per_fu": 0.000,
  "dos_ef_per_ev_cell": 1.193,
  "mass_density_g_cm3": 9.05
}

***

Entry 7:
{
  "formula": "Nd2SmErBi4",
  "functional": "GGA-PBE",
  "state": "optimized geometry",
  "lattice": [[-2.266, -0.719, -3.892], [3.762, -6.878, -0.921], [-6.648, -1.163, 4.086]],
  "species": ["Bi", "Bi", "Bi", "Bi", "Nd", "Nd", "Er", "Sm"],
  "fractional_positions": [[0.000, 0.744, 0.242], [0.000, 0.256, 0.758], [0.500, 0.748, 0.756], [0.500, 0.252, 0.244], [0.000, 0.500, 0.500], [0.500, 0.000, 0.500], [0.500, 0.500, 0.000], [0.000, 0.000, 0.000]],
  "formation_energy_ev_per_atom": -0.905,
  "e_tot_ev_per_atom": -5.198,
  "sg": "No. 10",
  "magmom_total_mub_per_fu": 0.000,
  "dos_ef_per_ev_cell": 1.203,
  "mass_density_g_cm3": 8.94
}

***

Entry 8:
{
  "formula": "Nd2SmEr3Bi6",
  "functional": "GGA-PBE",
  "state": "optimized geometry",
  "lattice": [[-2.061, -0.767, 3.952], [7.498, -3.938, 3.146], [2.262, 9.831, 0.500]],
  "species": ["Bi", "Bi", "Bi", "Bi", "Bi", "Bi", "Sm", "Er", "Er", "Er", "Nd", "Nd"],
  "fractional_positions": [[0.997, 0.254, 0.995], [0.668, 0.077, 0.336], [0.336, 0.411, 0.672], [0.664, 0.589, 0.328], [0.332, 0.923, 0.664], [0.003, 0.746, 0.005], [0.500, 0.000, 0.000], [0.500, 0.500, 0.000], [0.833, 0.166, 0.666], [0.167, 0.834, 0.334], [0.834, 0.667, 0.667], [0.166, 0.333, 0.333]],
  "formation_energy_ev_per_atom": -0.874,
  "e_tot_ev_per_atom": -5.143,
  "sg": "No. 12",
  "magmom_total_mub_per_fu": 0.000,
  "dos_ef_per_ev_cell": 2.014,
  "mass_density_g_cm3": 9.30
}

***

Entry 9:
{
  "formula": "Nd2Sm3ErBi6",
  "functional": "GGA-PBE",
  "state": "optimized geometry",
  "lattice": [[4.559, 0.000, 0.000], [0.000, 9.109, 0.327], [-2.279, -2.620, 9.577]],
  "species": ["Nd", "Nd", "Bi", "Bi", "Bi", "Bi", "Bi", "Bi", "Sm", "Sm", "Sm", "Er"],
  "fractional_positions": [[0.166, 0.332, 0.332], [0.834, 0.668, 0.668], [0.666, 0.585, 0.332], [0.998, 0.244, 0.997], [0.334, 0.415, 0.668], [0.336, 0.921, 0.672], [0.664, 0.079, 0.328], [0.002, 0.756, 0.003], [0.500, 0.500, 0.000], [0.832, 0.166, 0.664], [0.168, 0.834, 0.336], [0.500, 0.000, 0.000]],
  "formation_energy_ev_per_atom": -0.911,
  "e_tot_ev_per_atom": -5.206,
  "sg": "No. 12",
  "magmom_total_mub_per_fu": 0.000,
  "dos_ef_per_ev_cell": 2.040,
  "mass_density_g_cm3": 8.93
}

***

Entry 10:
{
  "formula": "NdSm2ErBi5",
  "functional": "GGA-PBE",
  "state": "optimized geometry",
  "lattice": [[-1.077, 5.084, 2.001], [-2.559, -2.272, 4.394], [10.312, -0.149, 5.928]],
  "species": ["Sm", "Sm", "Bi", "Bi", "Bi", "Bi", "Bi", "Nd", "Er"],
  "fractional_positions": [[0.500, 0.500, 0.274], [0.500, 0.500, 0.726], [0.000, 0.500, 0.500], [0.000, 0.000, 0.242], [0.000, 0.000, 0.758], [0.500, 0.000, 0.500], [0.500, 0.500, 0.000], [0.000, 0.000, 0.500], [0.000, 0.000, 0.000]],
  "formation_energy_ev_per_atom": 0.050,
  "e_tot_ev_per_atom": -4.192,
  "sg": "No. 123",
  "magmom_total_mub_per_fu": 0.000,
  "dos_ef_per_ev_cell": 5.983,
  "mass_density_g_cm3": 7.46
}

***

Entry 11:
{
  "formula": "Tb2NdEr3Bi6",
  "functional": "GGA-PBE",
  "state": "optimized geometry",
  "lattice": [[4.491, 0.000, 0.000], [0.000, 8.973, 0.329], [-2.245, -2.576, 9.435]],
  "species": ["Tb", "Tb", "Bi", "Bi", "Bi", "Bi", "Bi", "Bi", "Er", "Er", "Er", "Nd"],
  "fractional_positions": [[0.833, 0.667, 0.665], [0.167, 0.333, 0.335], [0.334, 0.415, 0.668], [0.330, 0.918, 0.661], [0.666, 0.585, 0.332], [0.000, 0.742, 0.000], [0.000, 0.258, 0.000], [0.670, 0.082, 0.339], [0.500, 0.500, 0.000], [0.834, 0.168, 0.669], [0.166, 0.832, 0.331], [0.500, 0.000, 0.000]],
  "formation_energy_ev_per_atom": -0.855,
  "e_tot_ev_per_atom": -5.105,
  "sg": "No. 12",
  "magmom_total_mub_per_fu": 0.000,
  "dos_ef_per_ev_cell": 2.005,
  "mass_density_g_cm3": 9.59
}

***

Entry 12:
{
  "formula": "TbNd2Er3Bi6",
  "functional": "GGA-PBE",
  "state": "optimized geometry",
  "lattice": [[4.511, 0.000, 0.000], [0.000, 9.010, 0.332], [-2.256, -2.585, 9.476]],
  "species": ["Bi", "Bi", "Bi", "Bi", "Bi", "Bi", "Er", "Er", "Er", "Tb", "Nd", "Nd"],
  "fractional_positions": [[0.003, 0.750, 0.006], [0.333, 0.924, 0.666], [0.664, 0.589, 0.329], [0.667, 0.076, 0.334], [0.997, 0.250, 0.994], [0.336, 0.411, 0.671], [0.168, 0.834, 0.336], [0.500, 0.500, 0.000], [0.832, 0.166, 0.664], [0.500, 0.000, 0.000], [0.166, 0.333, 0.332], [0.834, 0.667, 0.668]],
  "formation_energy_ev_per_atom": -0.866,
  "e_tot_ev_per_atom": -5.128,
  "sg": "No. 12",
  "magmom_total_mub_per_fu": 0.000,
  "dos_ef_per_ev_cell": 2.008,
  "mass_density_g_cm3": 9.40
}

***

Please write out number 4 again, unchanged.
{
  "formula": "NdEr2ScBi4",
  "functional": "GGA-PBE",
  "state": "optimized geometry",
  "lattice": [[4.454, 0.000, 0.000], [0.000, 7.702, 0.130], [0.000, -2.695, 7.226]],
  "species": ["Nd", "Sc", "Er", "Er", "Bi", "Bi", "Bi", "Bi"],
  "fractional_positions": [[0.000, 0.000, 0.000], [0.500, 0.500, 0.000], [0.000, 0.500, 0.500], [0.500, 0.000, 0.500], [0.000, 0.262, 0.754], [0.500, 0.261, 0.253], [0.500, 0.739, 0.747], [0.000, 0.738, 0.246]],
  "formation_energy_ev_per_atom": -0.787,
  "e_tot_ev_per_atom": -5.255,
  "sg": "No. 10",
  "magmom_total_mub_per_fu": 0.000,
  "dos_ef_per_ev_cell": 1.363,
  "mass_density_g_cm3": 9.05
}